[1]
Entry from Alexandria: Ba2Li5Pt4 after structural relaxation (PBE-GGA).

## Properties
Space group: C2/m, No. 12
ΔE_f, meV per atom: -452

a b c (Å): 7.2591 7.2591 8.3230
angles (deg): 123.66 123.66 45.89
Closest atoms and distances in Å follow each position.
Element x y z (fractional)
Ba: 0.2242 0.2242 0.2860  6 Pt 3.22-3.42, 2 Li 3.41
Ba: 0.7758 0.7758 0.7140  6 Pt 3.22-3.42, 2 Li 3.41
Li: 0.1764 0.7045 0.2534  4 Pt 2.52-2.81, 1 Li 2.67
Li: 0.2955 0.8236 0.7466  4 Pt 2.52-2.81, 1 Li 2.67
Li: 0.5000 0.5000 0.0000  2 Pt 2.61
Li: 0.7045 0.1764 0.2534  4 Pt 2.52-2.81, 1 Li 2.67
Li: 0.8236 0.2955 0.7466  4 Pt 2.52-2.81, 1 Li 2.67
Pt: 0.1219 0.1219 0.5510  4 Li 2.56-2.60, 2 Pt 2.72-2.83
Pt: 0.2906 0.2906 0.9589  5 Li 2.52-2.81, 1 Pt 2.72
Pt: 0.7094 0.7094 0.0411  5 Li 2.52-2.81, 1 Pt 2.72
Pt: 0.8781 0.8781 0.4490  4 Li 2.56-2.60, 2 Pt 2.72-2.83

***

[2]
Entry from Alexandria: BaLiPt2 after structural relaxation (PBE-GGA).

## Properties
Space group: Fm-3m, No. 225
ΔE_f, meV per atom: -173

a b c (Å): 5.0496 5.0496 5.0496
angles (deg): 60.00 60.00 60.00
Closest atoms and distances in Å follow each position.
Element x y z (fractional)
Ba: 0.0000 0.0000 0.0000  8 Pt 3.09
Li: 0.5000 0.5000 0.5000  8 Pt 3.09
Pt: 0.2500 0.2500 0.2500  4 Ba 3.09, 4 Li 3.09
Pt: 0.7500 0.7500 0.7500  4 Ba 3.09, 4 Li 3.09

***

[3]
Entry from Alexandria: BaLiPt2 after structural relaxation (PBE-GGA).

## Properties
Space group: I-42d, No. 122
ΔE_f, meV per atom: -512

a b c (Å): 9.0759 9.0759 9.0759
angles (deg): 147.67 147.67 46.37
Closest atoms and distances in Å follow each position.
Element x y z (fractional)
Ba: 0.0000 0.0000 0.0000  8 Pt 3.35-3.68, 4 Li 3.57
Ba: 0.7500 0.2500 0.5000  8 Pt 3.35-3.68, 4 Li 3.57
Li: 0.2500 0.7500 0.5000  4 Pt 2.45
Li: 0.5000 0.5000 0.0000  4 Pt 2.45
Pt: 0.3307 0.1250 0.7057  2 Li 2.45, 2 Pt 2.57
Pt: 0.3750 0.6693 0.7943  2 Li 2.45, 2 Pt 2.57
Pt: 0.4193 0.6250 0.2943  2 Li 2.45, 2 Pt 2.57
Pt: 0.8750 0.5807 0.2057  2 Li 2.45, 2 Pt 2.57

***

[4]
Entry from Alexandria: BaLiPt after structural relaxation (PBE-GGA).

## Properties
Space group: I4mm, No. 107
ΔE_f, meV per atom: -338

a b c (Å): 5.9842 5.9842 5.9842
angles (deg): 143.92 143.92 51.95
Closest atoms and distances in Å follow each position.
Element x y z (fractional)
Ba: 0.0000 0.0000 0.0000  1 Li 2.89
Li: 0.7318 0.7318 0.0000  4 Pt 2.75, 1 Ba 2.89
Pt: 0.3083 0.3083 0.0000  4 Li 2.75

***

[5]
Entry from Alexandria: BaLiPt2 after structural relaxation (PBE-GGA).

## Properties
Space group: Pmm2, No. 25
ΔE_f, meV per atom: -196

a b c (Å): 3.0435 4.2354 6.5679
angles (deg): 90.00 90.00 90.00
Closest atoms and distances in Å follow each position.
Element x y z (fractional)
Ba: 0.0000 0.0000 0.0000  2 Ba 3.04, 6 Pt 3.16-3.29
Li: 0.5000 0.5000 0.3649  1 Pt 2.38
Pt: 0.0000 0.0000 0.4989  4 Li 2.75, 6 Pt 3.01-3.04
Pt: 0.5000 0.5000 0.7278  1 Li 2.38

***

[6]
Entry from Alexandria: Ba5LiPt after structural relaxation (PBE-GGA).

## Properties
Space group: C2/c, No. 15
ΔE_f, meV per atom: -229

a b c (Å): 8.4090 8.4090 12.8135
angles (deg): 109.34 109.34 60.05
Closest atoms and distances in Å follow each position.
Element x y z (fractional)
Ba: 0.0245 0.3734 0.6292  1 Pt 3.10
Ba: 0.0539 0.9461 0.7500  2 Pt 3.24
Ba: 0.2030 0.5692 0.9816  1 Pt 3.10
Ba: 0.3734 0.0245 0.1292  1 Pt 3.10
Ba: 0.4308 0.7970 0.5184  1 Pt 3.10
Ba: 0.5692 0.2030 0.4816  1 Pt 3.10
Ba: 0.6266 0.9755 0.8708  1 Pt 3.10
Ba: 0.7970 0.4308 0.0184  1 Pt 3.10
Ba: 0.9461 0.0539 0.2500  2 Pt 3.24
Ba: 0.9755 0.6266 0.3708  1 Pt 3.10
Li: 0.4973 0.5027 0.7500  3 Ba 3.56-3.73
Li: 0.5027 0.4973 0.2500  3 Ba 3.56-3.73
Pt: 0.0000 0.0000 0.0000  6 Ba 3.10-3.24
Pt: 0.0000 0.0000 0.5000  6 Ba 3.10-3.24

***

[7]
Entry from Alexandria: Ba6Li2Pt after structural relaxation (PBE-GGA).

## Properties
Space group: P2_1/c, No. 14
ΔE_f, meV per atom: -205

a b c (Å): 8.0660 9.3371 14.4095
angles (deg): 90.00 123.51 90.00
Closest atoms and distances in Å follow each position.
Element x y z (fractional)
Ba: 0.1216 0.1694 0.4482  1 Pt 3.14
Ba: 0.1216 0.3306 0.9482  1 Pt 3.14
Ba: 0.2885 0.6988 0.4457  1 Pt 3.16
Ba: 0.2885 0.8012 0.9457  1 Pt 3.16
Ba: 0.3659 0.0256 0.2510  1 Pt 3.13
Ba: 0.3659 0.4744 0.7510  1 Pt 3.13
Ba: 0.6341 0.5256 0.2490  1 Pt 3.13
Ba: 0.6341 0.9744 0.7490  1 Pt 3.13
Ba: 0.7115 0.1988 0.0543  1 Pt 3.16
Ba: 0.7115 0.3012 0.5543  1 Pt 3.16
Ba: 0.8784 0.6694 0.0518  1 Pt 3.14
Ba: 0.8784 0.8306 0.5518  1 Pt 3.14
Li: 0.1955 0.1062 0.7564  7 Ba 3.68-4.10
Li: 0.1955 0.3938 0.2564  7 Ba 3.68-4.10
Li: 0.8045 0.6062 0.7436  7 Ba 3.68-4.10
Li: 0.8045 0.8938 0.2436  7 Ba 3.68-4.10
Pt: 0.5000 0.0000 0.5000  6 Ba 3.13-3.16
Pt: 0.5000 0.5000 0.0000  6 Ba 3.13-3.16

***

[8]
Entry from Alexandria: BaLi9Pt2 after structural relaxation (PBE-GGA).

## Properties
Space group: I4_1/amd, No. 141
ΔE_f, meV per atom: -283

a b c (Å): 8.8027 8.8027 8.8027
angles (deg): 100.18 100.18 130.29
Closest atoms and distances in Å follow each position.
Element x y z (fractional)
Ba: 0.3750 0.6250 0.7500  18 Li 3.62-3.76, 4 Pt 3.96
Ba: 0.6250 0.3750 0.2500  18 Li 3.62-3.76, 4 Pt 3.96
Li: 0.1250 0.8750 0.2500  8 Li 2.90, 4 Pt 2.97
Li: 0.1568 0.5856 0.3212  2 Pt 2.64, 6 Li 2.69-2.90
Li: 0.1568 0.8356 0.5713  2 Pt 2.64, 6 Li 2.69-2.90
Li: 0.1644 0.2356 0.3212  2 Pt 2.64, 6 Li 2.69-2.90
Li: 0.1644 0.8432 0.9287  2 Pt 2.64, 6 Li 2.69-2.90
Li: 0.2356 0.1644 0.8212  2 Pt 2.64, 6 Li 2.69-2.90
Li: 0.2356 0.4144 0.0713  2 Pt 2.64, 6 Li 2.69-2.90
Li: 0.4144 0.2356 0.5713  2 Pt 2.64, 6 Li 2.69-2.90
Li: 0.4144 0.8432 0.1788  2 Pt 2.64, 6 Li 2.69-2.90
Li: 0.5856 0.1568 0.8212  2 Pt 2.64, 6 Li 2.69-2.90
Li: 0.5856 0.7644 0.4287  2 Pt 2.64, 6 Li 2.69-2.90
Li: 0.7644 0.5856 0.9287  2 Pt 2.64, 6 Li 2.69-2.90
Li: 0.7644 0.8356 0.1788  2 Pt 2.64, 6 Li 2.69-2.90
Li: 0.8356 0.1568 0.0713  2 Pt 2.64, 6 Li 2.69-2.90
Li: 0.8356 0.7644 0.6788  2 Pt 2.64, 6 Li 2.69-2.90
Li: 0.8432 0.1644 0.4287  2 Pt 2.64, 6 Li 2.69-2.90
Li: 0.8432 0.4144 0.6788  2 Pt 2.64, 6 Li 2.69-2.90
Li: 0.8750 0.1250 0.7500  8 Li 2.90, 4 Pt 2.97
Pt: 0.0000 0.0000 0.0000  8 Li 2.64
Pt: 0.0000 0.0000 0.5000  8 Li 2.64
Pt: 0.0000 0.5000 0.0000  8 Li 2.64
Pt: 0.5000 0.0000 0.5000  8 Li 2.64

***

[9]
Entry from Alexandria: BaLiPt4 after structural relaxation (PBE-GGA).

## Properties
Space group: F-43m, No. 216
ΔE_f, meV per atom: -594

a b c (Å): 5.5077 5.5077 5.5077
angles (deg): 60.00 60.00 60.00
Closest atoms and distances in Å follow each position.
Element x y z (fractional)
Ba: 0.0000 0.0000 0.0000  12 Pt 3.23, 4 Li 3.37
Li: 0.7500 0.7500 0.7500  12 Pt 3.23, 4 Ba 3.37
Pt: 0.3757 0.3757 0.3757  6 Pt 2.74-2.77
Pt: 0.3757 0.3757 0.8730  6 Pt 2.74-2.77
Pt: 0.3757 0.8730 0.3757  6 Pt 2.74-2.77
Pt: 0.8730 0.3757 0.3757  6 Pt 2.74-2.77

***

[10]
Entry from Alexandria: BaLiPt2 after structural relaxation (PBE-GGA).

## Properties
Space group: Pmmm, No. 47
ΔE_f, meV per atom: -347

a b c (Å): 3.0992 3.8766 7.0089
angles (deg): 90.00 90.00 90.00
Closest atoms and distances in Å follow each position.
Element x y z (fractional)
Ba: 0.0000 0.0000 0.0000  2 Ba 3.10, 8 Pt 3.28
Li: 0.0000 0.0000 0.5000  8 Pt 2.83, 2 Li 3.10
Pt: 0.5000 0.5000 0.3066  1 Pt 2.71, 4 Li 2.83
Pt: 0.5000 0.5000 0.6934  1 Pt 2.71, 4 Li 2.83

***

[11]
Entry from Alexandria: BaLiPt after structural relaxation (PBE-GGA).

## Properties
Space group: P4/nmm, No. 129
ΔE_f, meV per atom: -577

a b c (Å): 4.4674 4.4674 7.5939
angles (deg): 90.00 90.00 90.00
Closest atoms and distances in Å follow each position.
Element x y z (fractional)
Ba: 0.2500 0.2500 0.1716  5 Pt 3.28-3.49, 4 Li 3.35
Ba: 0.7500 0.7500 0.8284  5 Pt 3.28-3.49, 4 Li 3.35
Li: 0.2500 0.7500 0.5000  4 Pt 2.75
Li: 0.7500 0.2500 0.5000  4 Pt 2.75
Pt: 0.2500 0.2500 0.7120  4 Li 2.75
Pt: 0.7500 0.7500 0.2880  4 Li 2.75

***

[12]
Entry from Alexandria: Ba8LiPt2 after structural relaxation (PBE-GGA).

## Properties
Space group: P-3, No. 147
ΔE_f, meV per atom: -149

a b c (Å): 10.4817 10.4817 6.6156
angles (deg): 90.00 90.00 120.00
Closest atoms and distances in Å follow each position.
Element x y z (fractional)
Ba: 0.1682 0.8298 0.2566  1 Pt 2.98
Ba: 0.1702 0.3384 0.2566  1 Pt 2.98
Ba: 0.3333 0.6667 0.7539  2 Pt 3.27-3.34
Ba: 0.3384 0.1682 0.7434  1 Pt 2.98
Ba: 0.6616 0.8318 0.2566  1 Pt 2.98
Ba: 0.6667 0.3333 0.2461  2 Pt 3.27-3.34
Ba: 0.8298 0.6616 0.7434  1 Pt 2.98
Ba: 0.8318 0.1702 0.7434  1 Pt 2.98
Li: 0.0000 0.0000 0.0000  6 Ba 3.51
Pt: 0.3333 0.6667 0.2483  4 Ba 2.98-3.27
Pt: 0.6667 0.3333 0.7517  4 Ba 2.98-3.27

***

Across the entries above, DFT total energy takes the values -0.14216, -0.15260, -0.16507, -0.13340, -0.15344, -0.10064, -0.09495, -0.10603, -0.19331, -0.15898, -0.14221, -0.10364 hartree per atom, respectively.